<one>
# CuSbCl2

An optimized crystal structure of CuSbCl2 (GGA-PBEsol, Alexandria).

Values from the calculation:
N(E_F) in states/eV/f.u.: 0.88

Unit cell a=3.260 b=4.953 c=5.426 alpha=103.29 beta=90.00 gamma=90.00
Fractional coordinates of all 4 atoms:
Sb 0.500 0.339 0.715
Cu 0.000 0.000 0.416
Cl 0.000 0.017 0.995
Cl 0.500 0.644 0.374

=====

<two>
# CuSbCl2

An optimized crystal structure of CuSbCl2 (GGA-PBEsol, Alexandria).

Values from the calculation:
N(E_F) in states/eV/f.u.: 1.09

Unit cell a=3.462 b=3.462 c=8.216 alpha=90.00 beta=90.00 gamma=116.50
Fractional coordinates of all 4 atoms:
Sb 0.500 0.500 0.286
Cu 0.000 0.000 0.512
Cl 0.000 0.000 0.036
Cl 0.500 0.500 0.666

=====

Short version: <two> is the least stable of them.

=====

<one>
# ScCu2Cl

An optimized crystal structure of ScCu2Cl (GGA-PBEsol, Alexandria).

Values from the calculation:
N(E_F) in states/eV/f.u.: 3.65

Unit cell a=3.570 b=3.570 c=5.061 alpha=90.00 beta=90.00 gamma=90.00
Fractional coordinates of all 4 atoms:
Cl 0.500 0.500 0.500
Cu 0.000 0.000 0.764
Cu 0.000 0.000 0.236
Sc 0.500 0.500 0.000

=====

<two>
# ScCu2Cl

An optimized crystal structure of ScCu2Cl (GGA-PBEsol, Alexandria).

Values from the calculation:
N(E_F) in states/eV/f.u.: 1.75

Unit cell a=3.312 b=3.675 c=5.742 alpha=108.51 beta=106.59 gamma=90.51
Fractional coordinates of all 4 atoms:
Cl 0.000 0.500 0.000
Cu 0.000 0.000 0.500
Cu 0.500 0.500 0.500
Sc 0.500 0.000 0.000

=====

<three>
# ScCu2Cl

An optimized crystal structure of ScCu2Cl (GGA-PBEsol, Alexandria).

Values from the calculation:
N(E_F) in states/eV/f.u.: 0.39

Unit cell a=3.273 b=3.273 c=7.630 alpha=77.61 beta=77.61 gamma=60.00
Fractional coordinates of all 4 atoms:
Cl 0.000 0.000 0.000
Cu 0.254 0.254 0.239
Cu 0.746 0.746 0.761
Sc 0.500 0.500 0.500

=====

Short version: <three> is the least stable of them.

=====

<one>
# Cu2SiCl

An optimized crystal structure of Cu2SiCl (GGA-PBEsol, Alexandria).

Values from the calculation:
N(E_F) in states/eV/f.u.: 5.77

Unit cell a=4.366 b=4.366 c=4.366 alpha=60.00 beta=60.00 gamma=60.00
Fractional coordinates of all 4 atoms:
Cl 0.000 0.000 0.000
Cu 0.250 0.250 0.250
Cu 0.750 0.750 0.750
Si 0.500 0.500 0.500

=====

<two>
# Cu2SiCl

An optimized crystal structure of Cu2SiCl (GGA-PBEsol, Alexandria).

Values from the calculation:
N(E_F) in states/eV/f.u.: 2.03

Unit cell a=3.037 b=3.037 c=6.714 alpha=90.00 beta=90.00 gamma=90.00
Fractional coordinates of all 4 atoms:
Cl 0.500 0.500 0.830
Cu 0.000 0.000 0.029
Cu 0.500 0.500 0.231
Si 0.000 0.000 0.410

=====

Short version: <one> is the least stable of them.

=====

<one>
# Cu2TcCl

An optimized crystal structure of Cu2TcCl (GGA-PBEsol, Alexandria).

Values from the calculation:
N(E_F) in states/eV/f.u.: 4.37

Unit cell a=3.537 b=3.537 c=4.264 alpha=90.00 beta=90.00 gamma=90.00
Fractional coordinates of all 4 atoms:
Cl 0.000 0.000 0.500
Cu 0.000 0.500 0.000
Cu 0.500 0.000 0.000
Tc 0.500 0.500 0.500

=====

<two>
# Cu2TcCl

An optimized crystal structure of Cu2TcCl (GGA-PBEsol, Alexandria).

Values from the calculation:
N(E_F) in states/eV/f.u.: 3.23

Unit cell a=2.684 b=4.251 c=4.872 alpha=106.87 beta=90.00 gamma=90.00
Fractional coordinates of all 4 atoms:
Cl 0.000 0.500 0.500
Cu 0.000 0.000 0.000
Cu 0.500 0.500 0.000
Tc 0.500 0.000 0.500

=====

<three>
# Cu2TcCl

An optimized crystal structure of Cu2TcCl (GGA-PBEsol, Alexandria).

Values from the calculation:
N(E_F) in states/eV/f.u.: 4.68

Unit cell a=4.208 b=4.208 c=4.208 alpha=60.00 beta=60.00 gamma=60.00
Fractional coordinates of all 4 atoms:
Cl 0.500 0.500 0.500
Cu 0.000 0.000 0.000
Cu 0.750 0.750 0.750
Tc 0.250 0.250 0.250

=====

Short version: <three> is the least stable of them.